# 1
# SmAg2S3, relaxed, DFT PBE
# size of the total moment	0.000	μB/atom
# ΔE_f (raw)	-0.582	eV per atom
data_SmAg2S3
_chemical_formula_sum 'Sm4 Ag8 S12'
_space_group_name_H-M_alt 'C m c m'
_space_group_IT_number 63
_space_group_name_Hall '-C 2c 2'
_cell_length_a 8.125
_cell_length_b 12.387
_cell_length_c 5.248
_cell_angle_alpha 90.00
_cell_angle_beta 90.00
_cell_angle_gamma 90.00
loop_
_atom_site_label
_atom_site_fract_x
_atom_site_fract_y
_atom_site_fract_z
_atom_site_occupancy
Sm1 0.000 0.236 0.250 1
Ag1 0.213 0.500 0.000 1
S1 0.000 0.368 0.750 1
S2 0.195 0.162 0.750 1

# 2
# Y2TaIr, relaxed, DFT PBE
# DFT formation energy	0.164	eV/atom
# size of the total moment	0.000	μB/atom
data_Y2TaIr
_chemical_formula_sum 'Y4 Ta2 Ir2'
_space_group_name_H-M_alt 'I 4/m m m'
_space_group_IT_number 139
_space_group_name_Hall '-I 4 2'
_cell_length_a 4.373
_cell_length_b 4.373
_cell_length_c 8.999
_cell_angle_alpha 90.00
_cell_angle_beta 90.00
_cell_angle_gamma 90.00
loop_
_atom_site_label
_atom_site_fract_x
_atom_site_fract_y
_atom_site_fract_z
_atom_site_occupancy
Y1 0.000 0.500 0.250 1
Ta1 0.000 0.000 0.000 1
Ir1 0.000 0.000 0.500 1

# 3
# NaCa2HfH, relaxed, DFT PBE
# size of the total moment	0.332	μB/atom
# energy	-16.58	eV/cell
data_NaCa2HfH
_chemical_formula_sum 'Na1 Ca2 Hf1 H1'
_space_group_name_H-M_alt 'P 4/m m m'
_space_group_IT_number 123
_space_group_name_Hall '-P 4 2'
_cell_length_a 5.050
_cell_length_b 5.050
_cell_length_c 4.872
_cell_angle_alpha 90.00
_cell_angle_beta 90.00
_cell_angle_gamma 90.00
loop_
_atom_site_label
_atom_site_fract_x
_atom_site_fract_y
_atom_site_fract_z
_atom_site_occupancy
Na1 0.000 0.000 0.000 1
Ca1 0.000 0.500 0.500 1
Hf1 0.500 0.500 0.000 1
H1 0.000 0.000 0.500 1

# 4
# Ba3Sb2Pb2, relaxed, DFT PBE
# size of the total moment	0.000	μB/atom
# ΔE_f (raw)	-0.669	eV per atom
data_Ba3Sb2Pb2
_chemical_formula_sum 'Ba6 Sb4 Pb4'
_space_group_name_H-M_alt 'C 1 2/m 1'
_space_group_IT_number 12
_cell_length_a 13.360
_cell_length_b 5.041
_cell_length_c 9.448
_cell_angle_alpha 90.00
_cell_angle_beta 116.26
_cell_angle_gamma 90.00
loop_
_space_group_symop_operation_xyz
'x,y,z'
'-x,-y,-z'
'-x,y,-z'
'x,-y,z'
'x+1/2,y+1/2,z'
'-x+1/2,-y+1/2,-z'
'-x+1/2,y+1/2,-z'
'x+1/2,-y+1/2,z'
loop_
_atom_site_label
_atom_site_fract_x
_atom_site_fract_y
_atom_site_fract_z
_atom_site_occupancy
Ba1 0.000 0.000 0.000 1
Ba2 0.161 0.000 0.620 1
Sb1 0.059 0.500 0.321 1
Pb1 0.180 0.500 0.928 1

# 5
# ErCd2Pd4, relaxed, DFT PBE
# DFT formation energy	-0.448	eV/atom
# size of the total moment	0.000	μB/atom
data_ErCd2Pd4
_chemical_formula_sum 'Er2 Cd4 Pd8'
_space_group_name_H-M_alt 'I 4/m m m'
_space_group_IT_number 139
_space_group_name_Hall '-I 4 2'
_cell_length_a 4.165
_cell_length_b 4.165
_cell_length_c 15.671
_cell_angle_alpha 90.00
_cell_angle_beta 90.00
_cell_angle_gamma 90.00
loop_
_atom_site_label
_atom_site_fract_x
_atom_site_fract_y
_atom_site_fract_z
_atom_site_occupancy
Er1 0.000 0.000 0.000 1
Cd1 0.000 0.000 0.252 1
Pd1 0.000 0.500 0.124 1

# 6
# ThSc2PaN4, relaxed, DFT PBE
# size of the total moment	0.000	μB/atom
# ΔE_f (raw)	-1.649	eV per atom
data_ThSc2PaN4
_chemical_formula_sum 'Th1 Sc2 Pa1 N4'
_space_group_name_H-M_alt 'P 1 2/m 1'
_space_group_IT_number 10
_cell_length_a 5.903
_cell_length_b 3.395
_cell_length_c 5.912
_cell_angle_alpha 90.00
_cell_angle_beta 109.31
_cell_angle_gamma 90.00
loop_
_space_group_symop_operation_xyz
'x,y,z'
'-x,-y,-z'
'-x,y,-z'
'x,-y,z'
loop_
_atom_site_label
_atom_site_fract_x
_atom_site_fract_y
_atom_site_fract_z
_atom_site_occupancy
Th1 0.000 0.000 0.000 1
Sc1 0.000 0.500 0.500 1
Sc2 0.500 0.000 0.500 1
Pa1 0.500 0.500 0.000 1
N1 0.255 0.000 0.732 1
N2 0.270 0.500 0.270 1

# 7
# EuIn4Cu, relaxed, DFT PBE
# DFT formation energy	-0.279	eV/atom
# size of the total moment	1.170	μB/atom
data_EuIn4Cu
_chemical_formula_sum 'Eu4 In16 Cu4'
_space_group_name_H-M_alt 'C m c m'
_space_group_IT_number 63
_space_group_name_Hall '-C 2c 2'
_cell_length_a 4.587
_cell_length_b 17.163
_cell_length_c 7.411
_cell_angle_alpha 90.00
_cell_angle_beta 90.00
_cell_angle_gamma 90.00
loop_
_atom_site_label
_atom_site_fract_x
_atom_site_fract_y
_atom_site_fract_z
_atom_site_occupancy
Eu1 0.000 0.121 0.250 1
In1 0.000 0.072 0.750 1
In2 0.000 0.315 0.048 1
In3 0.000 0.500 0.000 1
Cu1 0.000 0.227 0.750 1

# 8
# Cs2KPdSe2, relaxed, DFT PBE
# size of the total moment	0.000	μB/atom
# ΔE_f (raw)	-0.721	eV per atom
data_Cs2KPdSe2
_chemical_formula_sum 'Cs8 K4 Pd4 Se8'
_space_group_name_H-M_alt 'I b a m'
_space_group_IT_number 72
_space_group_name_Hall '-I 2 2c'
_cell_length_a 8.025
_cell_length_b 14.861
_cell_length_c 7.312
_cell_angle_alpha 90.00
_cell_angle_beta 90.00
_cell_angle_gamma 90.00
loop_
_atom_site_label
_atom_site_fract_x
_atom_site_fract_y
_atom_site_fract_z
_atom_site_occupancy
Cs1 0.196 0.173 0.000 1
K1 0.000 0.500 0.250 1
Pd1 0.000 0.000 0.250 1
Se1 0.200 0.078 0.500 1